1.
VASP calculation (PBE) on crystalline Ho2Si9Ir3 at its relaxed geometry.

Cell lengths 7.439, 7.439, 10.021 Å; angles 91.37, 111.74, 117.96 degrees
Atoms (fractional coordinates):
Ir (0.801, 0.125, 0.497)
Si (0.529, 0.089, 0.249)
Si (0.106, 0.148, 0.410)
Si (0.805, 0.476, 0.447)
Si (0.660, 0.720, 0.749)
Si (0.763, 0.304, 0.910)
Ir (0.199, 0.875, 0.503)
Si (0.887, 0.027, 0.089)
Ir (0.128, 0.304, 0.003)
Ir (0.872, 0.696, 0.997)
Si (0.529, 0.358, 0.053)
Si (0.237, 0.696, 0.090)
Si (0.854, 0.104, 0.750)
Si (0.471, 0.911, 0.751)
Si (0.195, 0.524, 0.553)
Ho (0.681, 0.726, 0.258)
Si (0.471, 0.642, 0.947)
Si (0.113, 0.973, 0.911)
Ho (0.319, 0.274, 0.742)
Ir (0.500, 0.500, 0.500)
Ir (0.500, 0.000, 0.000)
Si (0.894, 0.852, 0.590)
Si (0.340, 0.280, 0.251)
Ho (0.967, 0.423, 0.242)
Si (0.563, 0.203, 0.589)
Si (0.437, 0.797, 0.411)
Si (0.146, 0.896, 0.250)
Ho (0.033, 0.577, 0.758)

Summary:
Mass density   8.7 g/cm3
E_form (uncorrected)   -419 meV per atom
Space-group type   No. 15
Magnetic moment   0.00 μB per cell

2.
VASP calculation (PBE) on crystalline LaTm2NbN4 at its relaxed geometry.

Cell lengths 3.412, 6.217, 12.054 Å; angles 90.00, 90.00, 105.93 degrees
Atoms (fractional coordinates):
N (0.741, 0.481, 0.885)
N (0.561, 0.122, 0.250)
Tm (0.371, 0.742, 0.964)
La (0.906, 0.812, 0.250)
N (0.439, 0.878, 0.750)
Nb (0.167, 0.334, 0.250)
N (0.000, 0.000, 0.500)
Tm (0.629, 0.258, 0.036)
N (0.259, 0.519, 0.385)
Tm (0.371, 0.742, 0.536)
Tm (0.629, 0.258, 0.464)
N (0.259, 0.519, 0.115)
N (0.741, 0.481, 0.615)
La (0.094, 0.188, 0.750)
Nb (0.833, 0.666, 0.750)
N (0.000, 0.000, 0.000)

Summary:
Mass density   8.5 g/cm3
E_form (uncorrected)   -1332 meV per atom
Space-group type   No. 63
Magnetic moment   0.00 μB per cell

Q: What is the E_form (uncorrected) in the second record?
A: -1332 meV per atom

Copy entry 2 word for word.
VASP calculation (PBE) on crystalline LaTm2NbN4 at its relaxed geometry.

Cell lengths 3.412, 6.217, 12.054 Å; angles 90.00, 90.00, 105.93 degrees
Atoms (fractional coordinates):
N (0.741, 0.481, 0.885)
N (0.561, 0.122, 0.250)
Tm (0.371, 0.742, 0.964)
La (0.906, 0.812, 0.250)
N (0.439, 0.878, 0.750)
Nb (0.167, 0.334, 0.250)
N (0.000, 0.000, 0.500)
Tm (0.629, 0.258, 0.036)
N (0.259, 0.519, 0.385)
Tm (0.371, 0.742, 0.536)
Tm (0.629, 0.258, 0.464)
N (0.259, 0.519, 0.115)
N (0.741, 0.481, 0.615)
La (0.094, 0.188, 0.750)
Nb (0.833, 0.666, 0.750)
N (0.000, 0.000, 0.000)

Summary:
Mass density   8.5 g/cm3
E_form (uncorrected)   -1332 meV per atom
Space-group type   No. 63
Magnetic moment   0.00 μB per cell

Q: Which value of E_form (uncorrected) does entry 1 give?
A: -419 meV per atom